Entry 1:
A plane-wave DFT calculation with PBE-GGA was carried out for TbSm2Sn2Hg2 after structural relaxation.

Properties
**E_form**: -328 meV per atom
**Magnetic moment**: 0.000 μB/atom

a = 4.9950 Å, b = 4.9950 Å, c = 27.1790 Å
α = 90.00°, β = 90.00°, γ = 120.00°
Space group R-3m (No. 166, hexagonal axes)
Symmetry-distinct sites (fractional):
Tb (0.0000, 0.0000, 0.0000) x3
Sm (0.0000, 0.0000, 0.1300) x6
Sn (0.0000, 0.0000, 0.2730) x6
Hg (0.0000, 0.0000, 0.4283) x6

Entry 2:
A plane-wave DFT calculation with PBE-GGA was carried out for MgCoH2 after structural relaxation.

Properties
**Uncorrected energy**: -3.853 eV/atom
**Magnetic moment**: 0.000 μB/atom

a = 2.8933 Å, b = 2.8933 Å, c = 13.2221 Å
α = 90.00°, β = 90.00°, γ = 120.00°
Space group R-3m (No. 166, hexagonal axes)
Symmetry-distinct sites (fractional):
Mg (0.0000, 0.0000, 0.0000) x3
Co (0.0000, 0.0000, 0.5000) x3
H (0.0000, 0.0000, 0.2143) x6

Entry 3:
A plane-wave DFT calculation with PBE-GGA was carried out for ErNbC after structural relaxation.

Properties
**E_form**: -267 meV per atom
**Magnetic moment**: 0.001 μB/atom

a = 3.2963 Å, b = 3.2963 Å, c = 5.4647 Å
α = 90.00°, β = 90.00°, γ = 120.00°
Space group P3m1 (No. 156)
Symmetry-distinct sites (fractional):
Er (0.0000, 0.0000, 0.0000) x1
Nb (0.3333, 0.6667, 0.4793) x1
C (0.6667, 0.3333, 0.2825) x1

no.,ρ (Mg/m³)
1,9.3
2,4.4
3,8.8